The following is a PBE calculation of a relaxed Li6Ag3Sn crystal, from the Alexandria database.

Geometry as CIF:
```
data_Li6Ag3Sn
_chemical_formula_sum 'Li12 Ag6 Sn2'
_cell_length_a 7.387
_cell_length_b 6.845
_cell_length_c 8.328
_cell_angle_alpha 90.00
_cell_angle_beta 121.91
_cell_angle_gamma 90.00
_space_group_name_H-M_alt 'P 1'
_space_group_IT_number 1
_space_group_name_Hall 'P 1'
loop_
_atom_site_label
_atom_site_type_symbol
_atom_site_fract_x
_atom_site_fract_y
_atom_site_fract_z
Li1 Li 0.031 0.126 0.211
Li2 Li 0.031 0.374 0.711
Li3 Li 0.249 0.707 0.669
Li4 Li 0.249 0.793 0.169
Li5 Li 0.401 0.083 0.820
Li6 Li 0.401 0.417 0.320
Li7 Li 0.599 0.583 0.680
Li8 Li 0.599 0.917 0.180
Li9 Li 0.751 0.207 0.831
Li10 Li 0.751 0.293 0.331
Li11 Li 0.969 0.626 0.289
Li12 Li 0.969 0.874 0.789
Ag1 Ag 0.000 0.000 0.500
Ag2 Ag 0.000 0.500 0.000
Ag3 Ag 0.251 0.162 0.040
Ag4 Ag 0.251 0.338 0.540
Ag5 Ag 0.749 0.662 0.460
Ag6 Ag 0.749 0.838 0.960
Sn1 Sn 0.500 0.000 0.500
Sn2 Sn 0.500 0.500 0.000
```

Results
Total DFT energy (no corrections): -51.3 eV per cell
Magnetic moment: 0.00 μB per formula unit
Formation energy: -156 kJ/mol of formula units